*i*
SmWO5 PBE+U relaxed; volume = 15.3 Å³/atom; theoretical density = 6441 kg/m3; symmetry = No. 15; crystal system = monoclinic
1.0
-0.225 -5.550 -1.114
4.216 -1.324 -3.545
5.604 -3.671 3.858
Sm O W
2 10 2
Direct
0.552 0.448 0.250
0.448 0.552 0.750
0.241 0.212 0.386
0.281 0.703 0.464
0.212 0.241 0.886
0.788 0.759 0.114
0.719 0.297 0.536
0.759 0.788 0.614
0.071 0.929 0.750
0.703 0.281 0.964
0.297 0.719 0.036
0.929 0.071 0.250
0.000 0.000 0.500
0.000 0.000 0.000

*ii*
SmWO5 PBE+U relaxed; volume = 16.0 Å³/atom; theoretical density = 6140 kg/m3; symmetry = No. 14; crystal system = monoclinic
1.0
-0.307 12.924 -0.848
-4.947 0.023 2.145
-0.421 0.459 7.156
O Sm W
20 4 4
Direct
0.223 0.820 0.677
0.405 0.548 0.920
0.095 0.548 0.420
0.083 0.642 0.038
0.777 0.180 0.323
0.065 0.994 0.324
0.125 0.200 0.912
0.595 0.452 0.080
0.417 0.642 0.538
0.905 0.452 0.580
0.277 0.820 0.177
0.375 0.200 0.412
0.935 0.006 0.676
0.583 0.358 0.462
0.917 0.358 0.962
0.875 0.800 0.088
0.435 0.994 0.824
0.625 0.800 0.588
0.723 0.180 0.823
0.565 0.006 0.176
0.554 0.363 0.789
0.054 0.637 0.711
0.946 0.363 0.289
0.446 0.637 0.211
0.140 0.868 0.144
0.640 0.132 0.356
0.860 0.132 0.856
0.360 0.868 0.644

*i* is the most stable structure; the next one sits 0.016 eV/atom above it.

*i*
Sm2WO6 PBE+U relaxed; volume = 13.6 Å³/atom; theoretical density = 7862 kg/m3; symmetry = No. 13; crystal system = monoclinic
1.0
-3.519 0.606 -4.194
5.008 -3.743 -4.743
-3.069 -11.243 0.951
Sm O W
8 24 4
Direct
0.188 0.206 0.924
0.812 0.794 0.076
0.261 0.000 0.250
0.812 0.206 0.424
0.188 0.794 0.576
0.683 0.500 0.750
0.317 0.500 0.250
0.739 0.000 0.750
0.045 0.937 0.895
0.544 0.786 0.231
0.986 0.709 0.774
0.640 0.495 0.387
0.045 0.063 0.605
0.360 0.505 0.613
0.014 0.709 0.274
0.360 0.495 0.887
0.544 0.214 0.269
0.986 0.291 0.726
0.477 0.849 0.430
0.846 0.362 0.955
0.456 0.214 0.769
0.523 0.151 0.570
0.456 0.786 0.731
0.640 0.505 0.113
0.955 0.063 0.105
0.154 0.362 0.455
0.477 0.151 0.070
0.955 0.937 0.395
0.014 0.291 0.226
0.846 0.638 0.545
0.154 0.638 0.045
0.523 0.849 0.930
0.746 0.724 0.385
0.746 0.276 0.115
0.254 0.276 0.615
0.254 0.724 0.885

*ii*
Sm2WO6 PBE+U relaxed; volume = 15.1 Å³/atom; theoretical density = 7111 kg/m3; symmetry = No. 14; crystal system = monoclinic
1.0
-4.474 -3.239 -0.868
2.475 -4.271 3.176
-2.839 3.531 6.960
O W Sm
12 2 4
Direct
0.666 0.401 0.204
0.857 0.742 0.608
0.834 0.901 0.296
0.643 0.242 0.892
0.780 0.677 0.952
0.334 0.599 0.796
0.143 0.258 0.392
0.720 0.177 0.548
0.280 0.823 0.452
0.357 0.758 0.108
0.166 0.099 0.704
0.220 0.323 0.048
0.000 0.000 0.500
0.500 0.500 0.000
0.959 0.426 0.766
0.041 0.574 0.234
0.459 0.074 0.266
0.541 0.926 0.734

*iii*
Sm2WO6 PBE+U relaxed; volume = 14.2 Å³/atom; theoretical density = 7531 kg/m3; symmetry = No. 19; crystal system = orthorhombic
1.0
-0.905 -3.184 -4.253
7.431 3.642 -4.309
5.915 -7.191 4.124
O Sm W
24 8 4
Direct
0.748 0.589 0.992
0.829 0.049 0.293
0.248 0.911 0.008
0.726 0.113 0.567
0.687 0.639 0.739
0.813 0.361 0.239
0.186 0.865 0.680
0.814 0.365 0.820
0.580 0.846 0.529
0.171 0.549 0.207
0.420 0.346 0.971
0.313 0.139 0.761
0.187 0.861 0.261
0.252 0.089 0.508
0.920 0.154 0.029
0.314 0.135 0.180
0.274 0.613 0.933
0.774 0.887 0.067
0.226 0.387 0.433
0.329 0.451 0.707
0.080 0.654 0.471
0.752 0.411 0.492
0.671 0.951 0.793
0.686 0.635 0.320
0.463 0.719 0.131
0.479 0.604 0.536
0.537 0.219 0.369
0.521 0.104 0.964
0.963 0.781 0.869
0.021 0.396 0.036
0.037 0.281 0.631
0.979 0.896 0.464
0.960 0.504 0.350
0.040 0.004 0.150
0.460 0.996 0.650
0.540 0.496 0.850

*iii* is the most stable structure; the next one sits 0.010 eV/atom above it.